# NaCoIr

NaCoIr after structural relaxation (GGA-PBE, OQMD via LeMat-Bulk).

SG: F-43m
Excess energy over the best structure of this formula in the dataset: 251 kJ/mol of formula units
VASP energy: -4.041 eV per atom

abc: 4.1973 4.1973 4.1973
angles: 60.00 60.00 60.00
Closest atoms and distances in Å follow each position.
Sites, in units of the cell vectors:
Na1 0.0000 0.0000 0.0000  4 Co 2.57, 4 Ir 2.57
Co1 0.7500 0.7500 0.7500  4 Na 2.57
Ir1 0.2500 0.2500 0.2500  4 Na 2.57

=====

# NaCoIr

NaCoIr after structural relaxation (GGA-PBE, OQMD via LeMat-Bulk).

SG: F-43m
Excess energy over the best structure of this formula in the dataset: 0 kJ/mol of formula units
VASP energy: -4.909 eV per atom

abc: 4.1687 4.1687 4.1687
angles: 60.00 60.00 60.00
Closest atoms and distances in Å follow each position.
Sites, in units of the cell vectors:
Na1 0.0000 0.0000 0.0000  4 Co 2.55
Co1 0.7500 0.7500 0.7500  4 Ir 2.55, 4 Na 2.55
Ir1 0.5000 0.5000 0.5000  4 Co 2.55

=====

# NaCoP2Ir

NaCoP2Ir after structural relaxation (GGA-PBE, OQMD via LeMat-Bulk).

SG: I-4m2
VASP energy: -6.140 eV per atom

abc: 5.5861 5.5861 5.5861
angles: 139.18 139.18 59.10
Closest atoms and distances in Å follow each position.
Sites, in units of the cell vectors:
Na1 0.0000 0.0000 0.0000  8 P 3.00, 4 Co 3.11, 4 Ir 3.11
Co1 0.7500 0.2500 0.5000  4 P 2.31
P1 0.3778 0.3778 0.0000  2 Co 2.31, 2 Ir 2.31, 1 P 2.38
P2 0.6222 0.6222 0.0000  2 Co 2.31, 2 Ir 2.31, 1 P 2.38
Ir1 0.2500 0.7500 0.5000  4 P 2.31